(1)
Density functional theory data (PBE) for a geometry-optimized HoTlSb2 structure.

a b c (Å): 7.324 7.324 7.324
angles (deg): 37.45 37.45 37.45
Element x y z (fractional)
1 Ho 0.000 0.000 0.000
2 Tl 0.170 0.170 0.170
3 Sb 0.404 0.404 0.404
4 Sb 0.591 0.591 0.591

Computed properties:
The uncorrected formation energy comes out at -0.30 eV per atom. The space group is R3m, No. 160. The calculation puts the polymorph energy (0 for the lowest one) at 0.164 eV/atom.



(2)
Density functional theory data (PBE) for a geometry-optimized Pm2LuMn structure.

a b c (Å): 11.756 11.756 11.756
angles (deg): 16.65 16.65 16.65
Element x y z (fractional)
1 Pm 0.083 0.083 0.083
2 Pm 0.917 0.917 0.917
3 Lu 0.500 0.500 0.500
4 Mn 0.000 0.000 0.000

Computed properties:
The formation energy from the elements comes out at 51.2 kJ per mole of atoms. The space group is R-3m, No. 166. The calculation puts the polymorph energy (0 for the lowest one) at 0.357 eV/atom.



(3)
Density functional theory data (PBE) for a geometry-optimized In2TcAs structure.

a b c (Å): 7.683 7.683 7.683
angles (deg): 95.33 95.33 144.50
Element x y z (fractional)
1 In 0.000 0.000 0.000
2 In 0.000 0.000 0.500
3 In 0.000 0.500 0.000
4 In 0.500 0.000 0.500
5 Tc 0.125 0.875 0.250
6 Tc 0.875 0.125 0.750
7 As 0.375 0.625 0.750
8 As 0.625 0.375 0.250

Computed properties:
The formation energy from the elements comes out at 11.3 kJ per mole of atoms. The space group is I4_1/amd, No. 141.



(4)
Density functional theory data (PBE) for a geometry-optimized Y2CuTe structure.

a b c (Å): 7.689 7.689 7.689
angles (deg): 30.98 30.98 30.98
Element x y z (fractional)
1 Y 0.241 0.241 0.241
2 Y 0.759 0.759 0.759
3 Cu 0.500 0.500 0.500
4 Te 0.000 0.000 0.000

Computed properties:
The uncorrected formation energy comes out at -0.71 eV per atom. The space group is R-3m, No. 166.



(5)
Density functional theory data (PBE) for a geometry-optimized Na4Bi2Pb structure.

a b c (Å): 10.623 10.623 10.623
angles (deg): 29.51 29.51 29.51
Element x y z (fractional)
1 Na 0.106 0.106 0.106
2 Na 0.293 0.293 0.293
3 Na 0.707 0.707 0.707
4 Na 0.894 0.894 0.894
5 Bi 0.401 0.401 0.401
6 Bi 0.599 0.599 0.599
7 Pb 0.500 0.500 0.500

Computed properties:
The formation energy from the elements comes out at -13.2 kJ per mole of atoms. The space group is R-3m, No. 166. The calculation puts the polymorph energy (0 for the lowest one) at 0.054 eV/atom.



(6)
Density functional theory data (PBE) for a geometry-optimized La2CeBi3 structure.

a b c (Å): 15.496 14.775 8.096
angles (deg): 79.48 69.62 30.91
Element x y z (fractional)
1 La 0.042 0.042 0.208
2 La 0.124 0.124 0.626
3 La 0.208 0.208 0.042
4 La 0.374 0.374 0.876
5 La 0.626 0.626 0.124
6 La 0.792 0.792 0.958
7 La 0.876 0.876 0.374
8 La 0.958 0.958 0.792
9 Ce 0.292 0.292 0.458
10 Ce 0.458 0.458 0.292
11 Ce 0.542 0.542 0.708
12 Ce 0.708 0.708 0.542
13 Bi 0.040 0.541 0.214
14 Bi 0.130 0.620 0.620
15 Bi 0.214 0.704 0.040
16 Bi 0.296 0.786 0.459
17 Bi 0.380 0.870 0.870
18 Bi 0.459 0.960 0.296
19 Bi 0.541 0.040 0.704
20 Bi 0.620 0.130 0.130
21 Bi 0.704 0.214 0.541
22 Bi 0.786 0.296 0.960
23 Bi 0.870 0.380 0.380
24 Bi 0.960 0.459 0.786

Computed properties:
The formation energy from the elements comes out at -93.5 kJ per mole of atoms. The space group is Fddd, No. 70.



(7)
Density functional theory data (PBE) for a geometry-optimized Zr2CoAs structure.

a b c (Å): 6.452 6.452 6.452
angles (deg): 34.62 34.62 34.62
Element x y z (fractional)
1 Zr 0.000 0.000 0.000
2 Zr 0.194 0.194 0.194
3 Co 0.449 0.449 0.449
4 As 0.756 0.756 0.756

Computed properties:
The formation energy from the elements comes out at -37.8 kJ per mole of atoms. The space group is R3m, No. 160.



(8)
Density functional theory data (PBE) for a geometry-optimized CaCuGe2Pd5 structure.

a b c (Å): 4.761 4.761 7.182
angles (deg): 90.00 90.00 90.00
Element x y z (fractional)
1 Ca 0.000 0.000 0.000
2 Cu 0.000 0.000 0.500
3 Ge 0.500 0.500 0.337
4 Ge 0.500 0.500 0.663
5 Pd 0.000 0.500 0.281
6 Pd 0.000 0.500 0.719
7 Pd 0.500 0.000 0.281
8 Pd 0.500 0.000 0.719
9 Pd 0.500 0.500 0.000

Computed properties:
The formation energy from the elements comes out at -29.4 kJ per mole of atoms. The space group is P4/mmm, No. 123.



(9)
Density functional theory data (PBE) for a geometry-optimized PmBiSb structure.

a b c (Å): 5.945 5.945 5.945
angles (deg): 139.06 139.06 59.29
Element x y z (fractional)
1 Pm 0.000 0.000 0.000
2 Bi 0.663 0.663 0.000
3 Sb 0.359 0.359 0.000

Computed properties:
The uncorrected formation energy comes out at -0.61 eV per atom. The space group is I4mm, No. 107. The calculation puts the polymorph energy (0 for the lowest one) at 0.025 eV/atom.



(10)
Density functional theory data (PBE) for a geometry-optimized Ca2TlW structure.

a b c (Å): 3.157 3.157 10.301
angles (deg): 90.00 90.00 97.11
Element x y z (fractional)
1 Ca 0.000 0.000 0.000
2 Ca 0.500 0.500 0.325
3 Tl 0.000 0.000 0.565
4 W 0.500 0.500 0.772

Computed properties:
The formation energy from the elements comes out at 60.1 kJ per mole of atoms. The space group is Cmm2, No. 35. The calculation puts the polymorph energy (0 for the lowest one) at 0.133 eV/atom.



(11)
Density functional theory data (PBE) for a geometry-optimized Rb3AgHg2Br9 structure.

a b c (Å): 7.883 7.883 9.647
angles (deg): 90.00 90.00 120.00
Element x y z (fractional)
1 Rb 0.000 0.000 0.000
2 Rb 0.333 0.667 0.664
3 Rb 0.667 0.333 0.336
4 Ag 0.000 0.000 0.500
5 Hg 0.333 0.667 0.173
6 Hg 0.667 0.333 0.827
7 Br 0.000 0.500 0.000
8 Br 0.164 0.329 0.336
9 Br 0.164 0.836 0.336
10 Br 0.329 0.164 0.664
11 Br 0.500 0.000 0.000
12 Br 0.500 0.500 0.000
13 Br 0.671 0.836 0.336
14 Br 0.836 0.164 0.664
15 Br 0.836 0.671 0.664

Computed properties:
The uncorrected formation energy comes out at -0.90 eV per atom. The space group is P-3m1, No. 164.



(12)
Density functional theory data (PBE) for a geometry-optimized Be3NiW structure.

a b c (Å): 4.244 4.244 4.244
angles (deg): 90.00 90.00 90.00
Element x y z (fractional)
1 Be 0.000 0.000 0.500
2 Be 0.000 0.500 0.000
3 Be 0.500 0.000 0.000
4 Ni 0.500 0.500 0.500
5 W 0.000 0.000 0.000

Computed properties:
The formation energy from the elements comes out at 162.6 kJ per mole of atoms. The space group is Pm-3m, No. 221. The calculation puts the polymorph energy (0 for the lowest one) at 1.134 eV/atom.



(13)
Density functional theory data (PBE) for a geometry-optimized CeAlPdPt structure.

a b c (Å): 4.768 4.768 4.768
angles (deg): 60.00 60.00 60.00
Element x y z (fractional)
1 Ce 0.000 0.000 0.000
2 Al 0.500 0.500 0.500
3 Pd 0.750 0.750 0.750
4 Pt 0.250 0.250 0.250

Computed properties:
The formation energy from the elements comes out at -77.5 kJ per mole of atoms. The space group is F-43m, No. 216. The calculation puts the polymorph energy (0 for the lowest one) at 0.158 eV/atom.



(14)
Density functional theory data (PBE) for a geometry-optimized MoPRu structure.

a b c (Å): 4.672 4.672 6.443
angles (deg): 90.13 90.13 37.82
Element x y z (fractional)
1 Mo 0.000 0.000 0.000
2 Mo 0.727 0.727 0.242
3 P 0.445 0.445 0.304
4 P 0.835 0.835 0.604
5 Ru 0.276 0.276 0.888
6 Ru 0.546 0.546 0.649

Computed properties:
The formation energy from the elements comes out at -32.8 kJ per mole of atoms. The space group is Cm, No. 8. The calculation puts the polymorph energy (0 for the lowest one) at 0.191 eV/atom.



(15)
Density functional theory data (PBE) for a geometry-optimized CdSeS6 structure.

a b c (Å): 4.523 6.863 7.140
angles (deg): 104.68 107.68 102.33
Element x y z (fractional)
1 Cd 0.000 0.000 0.000
2 Se 0.500 0.500 0.500
3 S 0.207 0.774 0.462
4 S 0.250 0.386 0.126
5 S 0.400 0.022 0.713
6 S 0.600 0.978 0.287
7 S 0.750 0.614 0.874
8 S 0.793 0.226 0.538

Computed properties:
The uncorrected formation energy comes out at 0.15 eV per atom. The space group is P-1, No. 2.



(16)
Density functional theory data (PBE) for a geometry-optimized CePrSm2Tm structure.

a b c (Å): 8.493 6.344 6.203
angles (deg): 90.00 91.27 90.00
Element x y z (fractional)
1 Ce 0.000 0.043 0.250
2 Ce 0.000 0.957 0.750
3 Pr 0.000 0.500 0.000
4 Pr 0.000 0.500 0.500
5 Sm 0.310 0.191 0.743
6 Sm 0.310 0.809 0.243
7 Sm 0.690 0.191 0.757
8 Sm 0.690 0.809 0.257
9 Tm 0.500 0.326 0.250
10 Tm 0.500 0.674 0.750

Computed properties:
The formation energy from the elements comes out at 27.1 kJ per mole of atoms. The space group is P2/c, No. 13.



(17)
Density functional theory data (PBE) for a geometry-optimized Sr2Ca2La structure.

a b c (Å): 10.270 10.270 4.296
angles (deg): 90.00 90.00 90.00
Element x y z (fractional)
1 Sr 0.132 0.368 0.000
2 Sr 0.368 0.868 0.000
3 Sr 0.632 0.132 0.000
4 Sr 0.868 0.632 0.000
5 Ca 0.169 0.669 0.500
6 Ca 0.331 0.169 0.500
7 Ca 0.669 0.831 0.500
8 Ca 0.831 0.331 0.500
9 La 0.000 0.000 0.000
10 La 0.500 0.500 0.000

Computed properties:
The formation energy from the elements comes out at 22.0 kJ per mole of atoms. The space group is P4/mbm, No. 127. The calculation puts the polymorph energy (0 for the lowest one) at 0.003 eV/atom.



(18)
Density functional theory data (PBE) for a geometry-optimized CdCo2Se structure.

a b c (Å): 3.135 3.791 6.307
angles (deg): 90.00 104.18 90.00
Element x y z (fractional)
1 Cd 0.000 0.000 0.000
2 Co 0.164 0.500 0.335
3 Co 0.675 0.000 0.357
4 Se 0.804 0.500 0.621

Computed properties:
The uncorrected formation energy comes out at 0.20 eV per atom. The space group is Pm, No. 6. The calculation puts the polymorph energy (0 for the lowest one) at 0.050 eV/atom.



(19)
Density functional theory data (PBE) for a geometry-optimized La4HgOs structure.

a b c (Å): 8.969 8.969 7.086
angles (deg): 107.67 107.67 116.53
Element x y z (fractional)
1 La 0.057 0.632 0.845
2 La 0.188 0.267 0.728
3 La 0.267 0.188 0.228
4 La 0.368 0.943 0.655
5 La 0.632 0.057 0.345
6 La 0.733 0.812 0.772
7 La 0.812 0.733 0.272
8 La 0.943 0.368 0.155
9 Hg 0.380 0.620 0.250
10 Hg 0.620 0.380 0.750
11 Os 0.087 0.913 0.750
12 Os 0.913 0.087 0.250

Computed properties:
The formation energy from the elements comes out at -20.2 kJ per mole of atoms. The space group is C2/c, No. 15. The calculation puts the polymorph energy (0 for the lowest one) at 0.090 eV/atom.



(20)
Density functional theory data (PBE) for a geometry-optimized TlHg2Ru structure.

a b c (Å): 4.954 4.954 4.954
angles (deg): 60.00 60.00 60.00
Element x y z (fractional)
1 Tl 0.000 0.000 0.000
2 Hg 0.250 0.250 0.250
3 Hg 0.750 0.750 0.750
4 Ru 0.500 0.500 0.500

Computed properties:
The formation energy from the elements comes out at 67.1 kJ per mole of atoms. The space group is Fm-3m, No. 225. The calculation puts the polymorph energy (0 for the lowest one) at 0.356 eV/atom.